1.
Crystalline Te6Pd2Ru at its relaxed geometry, computed with GGA-PBE.

a = 5.3033 Å, b = 7.0827 Å, c = 11.9855 Å
α = 90.00°, β = 90.00°, γ = 90.00°
Positions (direct):
Te 0.2280 0.1822 0.1512
Te 0.2280 0.1822 0.8488
Te 0.2314 0.6817 0.0000
Te 0.2686 0.1817 0.5000
Te 0.2720 0.6822 0.3488
Te 0.2720 0.6822 0.6512
Te 0.7280 0.3178 0.3488
Te 0.7280 0.3178 0.6512
Te 0.7314 0.8183 0.5000
Te 0.7686 0.3183 0.0000
Te 0.7720 0.8178 0.1512
Te 0.7720 0.8178 0.8488
Pd 0.0000 0.0000 0.3253
Pd 0.0000 0.0000 0.6747
Pd 0.5000 0.5000 0.1747
Pd 0.5000 0.5000 0.8253
Ru 0.0000 0.5000 0.5000
Ru 0.5000 0.0000 0.0000

Fermi-level density of states: 4.1 states/eV/f.u.
spin magnetization: 0.00 μB/cell
E_tot: -81.87 eV per cell
calculated volume: 25.01 Å³/atom


2.
Crystalline Te2Pd2Ru at its relaxed geometry, computed with GGA-PBE.

a = 7.1917 Å, b = 7.1917 Å, c = 3.7793 Å
α = 90.00°, β = 90.00°, γ = 90.00°
Positions (direct):
Te 0.1667 0.3333 0.0000
Te 0.3333 0.8333 0.0000
Te 0.6667 0.1667 0.0000
Te 0.8333 0.6667 0.0000
Pd 0.1392 0.6392 0.5000
Pd 0.3608 0.1392 0.5000
Pd 0.6392 0.8608 0.5000
Pd 0.8608 0.3608 0.5000
Ru 0.0000 0.0000 0.0000
Ru 0.5000 0.5000 0.0000

Fermi-level density of states: 5.1 states/eV/f.u.
spin magnetization: 0.00 μB/cell
E_tot: -50.65 eV per cell
calculated volume: 19.55 Å³/atom


3.
Crystalline Te3PdRu at its relaxed geometry, computed with GGA-PBE.

a = 5.1599 Å, b = 5.1599 Å, c = 5.1599 Å
α = 90.00°, β = 90.00°, γ = 90.00°
Positions (direct):
Te 0.0000 0.0000 0.5000
Te 0.0000 0.5000 0.0000
Te 0.5000 0.0000 0.0000
Pd 0.5000 0.5000 0.5000
Ru 0.0000 0.0000 0.0000

Fermi-level density of states: 7.6 states/eV/f.u.
spin magnetization: 0.00 μB/cell
E_tot: -20.43 eV per cell
calculated volume: 27.48 Å³/atom


Number 1: uncorrected formation energy -269 meV/atom. Number 2: uncorrected formation energy 124 meV/atom. Number 3: uncorrected formation energy 692 meV/atom.